Record 1
CrFe3O4: optimized geometry, PBE+U.

Structure (extended XYZ):
```
16
Lattice="-3.8610 -0.3993 -3.7127 2.0971 -4.8578 0.7031 -4.2516 -1.1771 4.5481" Properties=species:S:1:pos:R:3 pbc="T T T"
O -5.9202 -5.0342 0.8750
O -2.2174 -1.9796 2.9187
O -3.7981 -4.4547 -1.3801
O -3.0976 -1.8884 -0.0611
O -0.8122 -3.9548 -0.6678
O -5.2034 -2.4794 2.2064
O -2.9179 -4.5458 1.5998
O -0.0953 -1.4000 0.6636
Fe -3.6213 -0.8352 1.9131
Fe -4.4913 -0.7412 -1.0777
Fe -3.6356 -3.5584 3.4017
Fe -1.5111 -2.9702 1.1290
Fe -4.5045 -3.4641 0.4096
Fe -2.3799 -2.8759 -1.8631
Cr -1.5015 -0.2483 -0.3545
Cr -6.6112 -1.3281 1.1900
```

Results
Its calculated volume is 173 Å³/cell. For the total DFT energy (no corrections), the calculation gives -110.634 eV for the cell shown. Its space-group type is P2/c.

=====

Record 2
Cr2FeOsO8: optimized geometry, PBE+U.

Structure (extended XYZ):
```
12
Lattice="4.5511 -0.0501 -0.0033 -0.0201 4.5452 -0.0052 0.0043 0.0069 6.0418" Properties=species:S:1:pos:R:3 pbc="T T T"
Fe 0.0022 0.0035 3.0209
Cr 2.2667 2.2494 1.5515
Cr 2.2686 2.2526 4.4818
O 3.1815 3.1612 -0.0058
O 1.3538 1.3408 6.0392
O 3.6842 0.8300 1.4710
O 0.8511 3.6720 4.5624
O 3.1653 3.1486 3.0150
O 3.6861 0.8335 4.5635
O 0.8491 3.6685 1.4698
O 1.3700 1.3534 3.0183
Os 0.0000 0.0000 0.0000
```

Results
Its calculated volume is 125 Å³/cell. For the total DFT energy (no corrections), the calculation gives -87.080 eV for the cell shown. Its space-group type is Cmmm.

=====

Record 3
CrFePO2: optimized geometry, PBE+U.

Structure (extended XYZ):
```
5
Lattice="-3.2645 -1.7325 0.2106 1.7449 -3.2490 0.3199 0.0496 0.5383 5.1968" Properties=species:S:1:pos:R:3 pbc="T T T"
O 0.8725 -1.6245 0.1599
O -1.6323 -0.8663 0.1053
P 0.0248 0.2691 2.5984
Fe 0.0000 0.0000 0.0000
Cr -0.7350 -2.2216 2.8637
```

Results
As for the energy relative to the lowest polymorph listed for this composition: 0.128 eV/atom. Its calculated volume is 72 Å³/cell. Its space-group type is P4/mmm.

=====

Record 4
CrFePO2: optimized geometry, PBE+U.

Structure (extended XYZ):
```
5
Lattice="-2.3746 2.3502 1.5438 0.9879 -1.1946 3.3380 3.7009 3.6101 0.1967" Properties=species:S:1:pos:R:3 pbc="T T T"
P 1.8505 1.8050 0.0983
Fe 1.1571 2.3828 2.5393
O -1.1873 1.1751 0.7719
O 0.4939 -0.5973 1.6690
Cr 0.0000 0.0000 0.0000
```

Results
As for the energy relative to the lowest polymorph listed for this composition: 0.000 eV/atom. Its calculated volume is 70 Å³/cell. Its space-group type is P4/mmm.

=====

Record 5
CrFeP2O: optimized geometry, PBE+U.

Structure (extended XYZ):
```
5
Lattice="4.8197 0.0000 0.0000 0.0000 4.8197 0.0000 0.0000 0.0000 3.4936" Properties=species:S:1:pos:R:3 pbc="T T T"
O 0.0000 0.0000 1.7468
P 2.4098 0.0000 0.0000
P 0.0000 2.4098 0.0000
Fe 2.4098 2.4098 1.7468
Cr 0.0000 0.0000 0.0000
```

Results
Its calculated volume is 81 Å³/cell. For the total DFT energy (no corrections), the calculation gives -27.697 eV for the cell shown. Its space-group type is P4/mmm.

=====

Record 6
PaCr2FeO6: optimized geometry, PBE+U.

Structure (extended XYZ):
```
10
Lattice="5.5176 -0.1353 0.1375 2.6445 4.5654 -0.0200 2.8426 1.3835 4.8792" Properties=species:S:1:pos:R:3 pbc="T T T"
Pa 2.7360 1.4535 0.3902
O 7.2876 3.1274 1.3424
O 3.9274 2.8528 3.6484
O 6.2515 4.2524 3.6985
O 4.7684 1.3750 1.2027
O 4.4911 4.3519 1.3492
O 6.2962 1.5321 3.6391
Fe 8.2643 4.3255 2.8482
Cr 5.4823 2.9103 2.3041
Cr 2.8000 1.4088 4.5956
```

Results
Its calculated volume is 124 Å³/cell. For the total DFT energy (no corrections), the calculation gives -82.691 eV for the cell shown. Its space-group type is P1.